No. 1
The following is a DFT calculation (PBE-GGA) of a relaxed LiSnSeN2 crystal.

N(E_F) = 0.3187 states/eV per atom
size of the total moment = 3.0 Bohr magnetons per cell
DFT total energy = -0.1598 Ha/atom

abc: 4.2022 4.2022 5.5219
angles: 90.00 90.00 90.00
Space group P4/mmm (No. 123)
Asymmetric unit:
Li1 0.0000 0.0000 0.0000 [1 per cell]
Sn1 0.5000 0.5000 0.5000 [1 per cell]
Se1 0.5000 0.5000 0.0000 [1 per cell]
N1 0.0000 0.5000 0.5000 [2 per cell]

No. 2
The following is a DFT calculation (PBE-GGA) of a relaxed Sr2LiSeN crystal.

N(E_F) = 0.0861 states/eV per atom
size of the total moment = 0.0 Bohr magnetons per cell
DFT total energy = -0.1659 Ha/atom

abc: 5.2082 5.2082 4.0784
angles: 90.00 90.00 90.00
Space group P4/mmm (No. 123)
Asymmetric unit:
Sr1 0.0000 0.5000 0.0000 [2 per cell]
Li1 0.0000 0.0000 0.5000 [1 per cell]
Se1 0.5000 0.5000 0.5000 [1 per cell]
N1 0.0000 0.0000 0.0000 [1 per cell]

No. 3
The following is a DFT calculation (PBE-GGA) of a relaxed SrLiSeN2 crystal.

N(E_F) = 0.3829 states/eV per atom
size of the total moment = 5.0 Bohr magnetons per cell
DFT total energy = -0.1509 Ha/atom

abc: 4.3768 4.3768 4.8529
angles: 90.00 90.00 90.00
Space group P4/mmm (No. 123)
Asymmetric unit:
Sr1 0.0000 0.0000 0.0000 [1 per cell]
Li1 0.5000 0.5000 0.5000 [1 per cell]
Se1 0.5000 0.5000 0.0000 [1 per cell]
N1 0.0000 0.5000 0.5000 [2 per cell]

No. 4
The following is a DFT calculation (PBE-GGA) of a relaxed SrLiSeN2 crystal.

N(E_F) = 0.6002 states/eV per atom
size of the total moment = 5.0 Bohr magnetons per cell
DFT total energy = -0.1374 Ha/atom

abc: 4.9222 4.9222 6.1348
angles: 90.00 90.00 90.00
Space group P4/mmm (No. 123)
Asymmetric unit:
Sr1 0.0000 0.0000 0.0000 [1 per cell]
Li1 0.5000 0.5000 0.5000 [1 per cell]
Se1 0.0000 0.0000 0.5000 [1 per cell]
N1 0.0000 0.5000 0.0000 [2 per cell]